# 1
Here is a relaxed RbSmP2Pt4 crystal from the Alexandria database. Energies are from PBE.

Calculated values
**Crystal system**: tetragonal
**Formation enthalpy at 0 K**: -70 kJ/mol of atoms

abc: 4.054 4.054 11.118
angles: 90.00 90.00 90.00
Space group P4/mmm (No. 123)
Symmetry-distinct sites (fractional):
Rb  0.000  0.000  0.000 x1
Sm  0.000  0.000  0.500 x1
P  0.500  0.500  0.194 x2
Pt  0.000  0.500  0.300 x4

# 2
Here is a relaxed RbSnP2Pt4 crystal from the Alexandria database. Energies are from PBE.

Calculated values
**Crystal system**: tetragonal
**Formation enthalpy at 0 K**: -51 kJ/mol of atoms

abc: 4.000 4.000 10.824
angles: 90.00 90.00 90.00
Space group P4/mmm (No. 123)
Symmetry-distinct sites (fractional):
Rb  0.000  0.000  0.000 x1
Sn  0.000  0.000  0.500 x1
P  0.500  0.500  0.198 x2
Pt  0.000  0.500  0.314 x4

# 3
Here is a relaxed RbThP2Pt4 crystal from the Alexandria database. Energies are from PBE.

Calculated values
**Crystal system**: tetragonal
**Formation enthalpy at 0 K**: -71 kJ/mol of atoms

abc: 4.320 4.320 10.372
angles: 90.00 90.00 90.00
Space group P4/mmm (No. 123)
Symmetry-distinct sites (fractional):
Rb  0.000  0.000  0.000 x1
Th  0.000  0.000  0.500 x1
P  0.500  0.500  0.211 x2
Pt  0.000  0.500  0.302 x4

> Which of these has the lowest formation enthalpy at 0 K?

RbThP2Pt4